(1)
Mg3Al2Ga9 after structural relaxation, computed with PBE-GGA.

a = 4.1889 Å, b = 10.2805 Å, c = 12.3385 Å
α = 90.00°, β = 90.00°, γ = 90.00°
Closest atoms and distances in Å follow each position.
Space group Immm (No. 71)
One atom of each set of equivalent atoms:
Mg: 0.0000 0.0000 0.0000 x2  8 Ga 3.02
Mg: 0.0000 0.0000 0.2895 x4  10 Ga 3.06-3.34, 2 Al 3.15
Al: 0.0000 0.1726 0.5000 x4  8 Ga 2.72-2.83
Ga: 0.0000 0.2923 0.1516 x8  4 Ga 2.68-2.84, 2 Al 2.83
Ga: 0.0000 0.3744 0.3580 x8  4 Ga 2.58-2.71, 1 Al 2.72
Ga: 0.0000 0.5000 0.0000 x2  4 Al 2.75, 4 Ga 2.84

Properties
Fermi-level density of states in states/eV/f.u.: 3.8
ΔE_f in meV/atom: -50
Calculated density in Mg/m³: 4.72

(2)
In2CoMo after structural relaxation, computed with PBE-GGA.

a = 2.9180 Å, b = 2.9180 Å, c = 7.9005 Å
α = 90.00°, β = 90.00°, γ = 90.00°
Closest atoms and distances in Å follow each position.
Space group P4/mmm (No. 123)
One atom of each set of equivalent atoms:
In: 0.0000 0.0000 0.2205 x2  4 Co 2.70, 4 In 2.92, 4 Mo 3.02
Co: 0.5000 0.5000 0.0000 x1  8 In 2.70, 4 Co 2.92
Mo: 0.5000 0.5000 0.5000 x1  4 Mo 2.92, 8 In 3.02

Properties
Fermi-level density of states in states/eV/f.u.: 3.6
ΔE_f in meV/atom: 344
ΔE to the lowest computed polymorph in meV/atom: 127
Calculated density in Mg/m³: 9.49

(3)
RbSr2InNi after structural relaxation, computed with PBE-GGA.

a = 5.9607 Å, b = 5.9607 Å, c = 5.1840 Å
α = 90.00°, β = 90.00°, γ = 90.00°
Closest atoms and distances in Å follow each position.
Space group P4/mmm (No. 123)
One atom of each set of equivalent atoms:
Rb: 0.0000 0.0000 0.0000 x1  8 Sr 3.95, 4 In 4.21
Sr: 0.0000 0.5000 0.5000 x2  2 Ni 2.98
In: 0.5000 0.5000 0.0000 x1  2 Ni 2.59
Ni: 0.5000 0.5000 0.5000 x1  2 In 2.59

Properties
Fermi-level density of states in states/eV/f.u.: 4.4
ΔE_f in meV/atom: -24
Calculated density in Mg/m³: 3.91

(4)
Ac2SCl2O after structural relaxation, computed with PBE-GGA.

a = 4.4009 Å, b = 8.6754 Å, c = 7.5207 Å
α = 90.00°, β = 90.00°, γ = 90.00°
Closest atoms and distances in Å follow each position.
Space group Pmc2_1 (No. 26)
One atom of each set of equivalent atoms:
Ac: 0.0000 0.1015 0.0000 x2  2 O 2.57-2.87
Ac: 0.5000 0.2932 0.4454 x2  2 O 2.50
S: 0.5000 0.0481 0.7157 x2  5 Ac 2.94-3.10, 2 O 3.15
Cl: 0.0000 0.3917 0.7276 x2  3 Ac 3.17-3.25, 1 O 3.28, 4 Cl 3.34-3.42
Cl: 0.5000 0.3454 0.0566 x2  4 Ac 2.96-3.25
O: 0.0000 0.1729 0.3723 x2  3 Ac 2.50-2.57

Properties
Fermi-level density of states in states/eV/f.u.: 0.0
Calculated density in Mg/m³: 6.63
E_form (uncorrected) in eV/atom: -2.682

(5)
CsCd2P after structural relaxation, computed with PBE-GGA.

a = 4.3885 Å, b = 4.3885 Å, c = 14.0430 Å
α = 90.00°, β = 90.00°, γ = 90.00°
Closest atoms and distances in Å follow each position.
Space group P4/nmm (No. 129, origin choice 2)
One atom of each set of equivalent atoms:
Cs: 0.2500 0.2500 0.2398 x2  4 P 3.57, 1 Cd 3.99
Cd: 0.2500 0.2500 0.5239 x2  4 Cd 3.17
Cd: 0.2500 0.7500 0.0000 x2  4 P 2.71
P: 0.2500 0.2500 0.8865 x2  4 Cd 2.71

Properties
Fermi-level density of states in states/eV/f.u.: 1.3
ΔE_f in meV/atom: -174
Calculated density in Mg/m³: 4.77

(6)
Ag3Cl after structural relaxation, computed with PBE-GGA.

a = 3.2274 Å, b = 3.2274 Å, c = 8.5401 Å
α = 90.00°, β = 90.00°, γ = 120.00°
Closest atoms and distances in Å follow each position.
Space group P-6m2 (No. 187)
One atom of each set of equivalent atoms:
Ag: 0.0000 0.0000 0.0000 x1  6 Ag 2.88
Ag: 0.3333 0.6667 0.2567 x2  3 Cl 2.79, 3 Ag 2.88
Cl: 0.0000 0.0000 0.5000 x1  6 Ag 2.79

Properties
Fermi-level density of states in states/eV/f.u.: 0.9
ΔE to the lowest computed polymorph in meV/atom: 68
Calculated density in Mg/m³: 7.74
E_form (uncorrected) in eV/atom: -0.034

(7)
MnTcIr after structural relaxation, computed with PBE-GGA.

a = 2.6955 Å, b = 2.6955 Å, c = 6.5111 Å
α = 90.00°, β = 90.00°, γ = 120.00°
Closest atoms and distances in Å follow each position.
Space group P3m1 (No. 156)
One atom of each set of equivalent atoms:
Mn: 0.0000 0.0000 0.0000 x1  3 Tc 2.61, 3 Ir 2.63, 6 Mn 2.70
Tc: 0.3333 0.6667 0.3221 x1  3 Mn 2.61, 6 Tc 2.70, 3 Ir 2.78
Ir: 0.6667 0.3333 0.6752 x1  3 Mn 2.63, 6 Ir 2.70, 3 Tc 2.78

Properties
Fermi-level density of states in states/eV/f.u.: 3.4
ΔE_f in meV/atom: 4
ΔE to the lowest computed polymorph in meV/atom: 79
Calculated density in Mg/m³: 13.99

(8)
Na4Np3RhN8 after structural relaxation, computed with PBE-GGA.

a = 6.7166 Å, b = 6.7166 Å, c = 16.9924 Å
α = 90.00°, β = 90.00°, γ = 120.00°
Closest atoms and distances in Å follow each position.
Space group R-3m (No. 166, hexagonal axes)
One atom of each set of equivalent atoms:
Na: 0.0000 0.0000 0.0000 x3  6 N 2.57
Na: 0.0000 0.5000 0.0000 x9  6 N 2.63-2.65
Np: 0.0000 0.5000 0.5000 x9  6 N 2.18-2.21
Rh: 0.0000 0.0000 0.5000 x3  6 N 2.28
N: 0.0000 0.0000 0.2286 x6  3 Np 2.21
N: 0.0126 0.5063 0.7706 x18  2 Np 2.18, 1 Rh 2.28

Properties
Fermi-level density of states in states/eV/f.u.: 12.9
Calculated density in Mg/m³: 7.64
E_form (uncorrected) in eV/atom: -0.599

(9)
Tb2HoErTm6 after structural relaxation, computed with PBE-GGA.

a = 8.8977 Å, b = 14.8129 Å, c = 9.4522 Å
α = 90.00°, β = 98.20°, γ = 90.00°
Closest atoms and distances in Å follow each position.
Space group C2/c (No. 15)
One atom of each set of equivalent atoms:
Tb: 0.2480 0.0527 0.0440 x8  6 Tm 3.20-3.57, 2 Ho 3.33, 1 Er 3.49
Ho: 0.0000 0.0215 0.7500 x4  4 Tb 3.33, 4 Tm 3.51-3.61
Er: 0.0000 0.4082 0.2500 x4  8 Tm 3.36-3.73, 2 Tb 3.49
Tm: 0.0626 0.1886 0.4430 x8  7 Tm 3.34-3.66, 1 Tb 3.44, 1 Ho 3.61, 1 Er 3.73
Tm: 0.1035 0.3936 0.6194 x8  4 Tm 3.17-3.46, 3 Tb 3.20-3.36, 2 Er 3.36-3.49
Tm: 0.2031 0.2240 0.8148 x8  2 Tm 3.17-3.50, 1 Tb 3.32, 1 Er 3.41, 1 Ho 3.51

Properties
Fermi-level density of states in states/eV/f.u.: 13.4
ΔE_f in meV/atom: 121
Calculated density in Mg/m³: 8.96

(10)
OsCl after structural relaxation, computed with PBE-GGA.

a = 6.3136 Å, b = 6.3136 Å, c = 6.3136 Å
α = 90.00°, β = 90.00°, γ = 90.00°
Closest atoms and distances in Å follow each position.
Space group Fd-3m (No. 227, origin choice 2)
One atom of each set of equivalent atoms:
Os: 0.1250 0.1250 0.1250 x8  4 Cl 2.73, 4 Os 2.73
Cl: 0.1250 0.1250 0.6250 x8  4 Cl 2.73, 4 Os 2.73

Properties
Fermi-level density of states in states/eV/f.u.: 2.1
ΔE to the lowest computed polymorph in meV/atom: 1232
Calculated density in Mg/m³: 11.91
E_form (uncorrected) in eV/atom: 1.356

(11)
AlCuP2 after structural relaxation, computed with PBE-GGA.

a = 3.4915 Å, b = 3.4915 Å, c = 9.7739 Å
α = 90.00°, β = 90.00°, γ = 90.00°
Closest atoms and distances in Å follow each position.
Space group I-4m2 (No. 119)
One atom of each set of equivalent atoms:
Al: 0.0000 0.0000 0.0000 x2  4 P 2.47
Cu: 0.0000 0.5000 0.7500 x2  4 P 2.47
P: 0.0000 0.0000 0.5000 x2  4 Al 2.47
P: 0.0000 0.5000 0.2500 x2  4 Cu 2.47

Properties
Fermi-level density of states in states/eV/f.u.: 1.2
ΔE_f in meV/atom: 238
Calculated density in Mg/m³: 4.25

(12)
EuThTlZn after structural relaxation, computed with PBE-GGA.

a = 7.6565 Å, b = 7.6565 Å, c = 7.6565 Å
α = 90.00°, β = 90.00°, γ = 90.00°
Closest atoms and distances in Å follow each position.
Space group F-43m (No. 216)
One atom of each set of equivalent atoms:
Eu: 0.0000 0.0000 0.0000 x4  4 Tl 3.32, 4 Zn 3.32
Th: 0.0000 0.0000 0.5000 x4  4 Tl 3.32, 4 Zn 3.32
Tl: 0.2500 0.2500 0.7500 x4  4 Th 3.32, 4 Eu 3.32
Zn: 0.2500 0.2500 0.2500 x4  4 Th 3.32, 4 Eu 3.32

Properties
Fermi-level density of states in states/eV/f.u.: 3.1
ΔE_f in meV/atom: -158
Calculated density in Mg/m³: 9.68

(13)
CsHfC3 after structural relaxation, computed with PBE-GGA.

a = 4.3193 Å, b = 4.3193 Å, c = 4.3193 Å
α = 90.00°, β = 90.00°, γ = 90.00°
Closest atoms and distances in Å follow each position.
Space group Pm-3m (No. 221)
One atom of each set of equivalent atoms:
Cs: 0.0000 0.0000 0.0000 x1  6 C 2.16
Hf: 0.5000 0.5000 0.5000 x1  12 C 3.05
C: 0.0000 0.0000 0.5000 x3  2 Cs 2.16

Properties
Fermi-level density of states in states/eV/f.u.: 2.8
ΔE_f in meV/atom: 3660
ΔE to the lowest computed polymorph in meV/atom: 1870
Calculated density in Mg/m³: 7.16

(14)
Pr3BiSe after structural relaxation, computed with PBE-GGA.

a = 8.9803 Å, b = 4.3620 Å, c = 16.1973 Å
α = 90.00°, β = 90.00°, γ = 90.00°
Closest atoms and distances in Å follow each position.
Space group Pnma (No. 62)
One atom of each set of equivalent atoms:
Pr: 0.0176 0.2500 0.1086 x4  3 Se 2.98-2.99
Pr: 0.1570 0.2500 0.5381 x4  2 Se 2.97
Pr: 0.1730 0.7500 0.2868 x4  1 Se 2.93
Bi: 0.1091 0.7500 0.6920 x4  8 Pr 3.31-3.61
Se: 0.1848 0.2500 0.9496 x4  6 Pr 2.93-2.99

Properties
Fermi-level density of states in states/eV/f.u.: 2.6
Calculated density in Mg/m³: 7.44
E_form (uncorrected) in eV/atom: -1.112

(15)
Na2SrSiH after structural relaxation, computed with PBE-GGA.

a = 4.6454 Å, b = 4.6454 Å, c = 5.2027 Å
α = 90.00°, β = 90.00°, γ = 90.00°
Closest atoms and distances in Å follow each position.
Space group P4/mmm (No. 123)
One atom of each set of equivalent atoms:
Na: 0.0000 0.5000 0.0000 x2  2 H 2.32
Sr: 0.0000 0.0000 0.5000 x1  2 H 2.60
Si: 0.5000 0.5000 0.5000 x1  4 Sr 3.28, 8 Na 3.49
H: 0.0000 0.0000 0.0000 x1  4 Na 2.32, 2 Sr 2.60

Properties
Fermi-level density of states in states/eV/f.u.: 4.3
Uncorrected energy in eV/atom: -2.721
Calculated density in Mg/m³: 2.41

(16)
CaTcHg2 after structural relaxation, computed with PBE-GGA.

a = 4.2826 Å, b = 4.2826 Å, c = 9.2201 Å
α = 90.00°, β = 90.00°, γ = 90.00°
Closest atoms and distances in Å follow each position.
Space group I-4m2 (No. 119)
One atom of each set of equivalent atoms:
Ca: 0.0000 0.0000 0.0000 x2  8 Hg 3.03-3.15, 4 Tc 3.15
Tc: 0.0000 0.5000 0.2500 x2  8 Hg 3.03-3.15, 4 Ca 3.15
Hg: 0.0000 0.0000 0.5000 x2  4 Ca 3.03, 4 Hg 3.15, 4 Tc 3.15
Hg: 0.0000 0.5000 0.7500 x2  4 Tc 3.03, 4 Hg 3.15, 4 Ca 3.15

Properties
Fermi-level density of states in states/eV/f.u.: 4.5
ΔE_f in meV/atom: 318
ΔE to the lowest computed polymorph in meV/atom: 87
Calculated density in Mg/m³: 10.59